Here is a geometry-optimized ScTlMo2O8 structure from the Alexandria database. Energies are from GGA+U.

Output
Excess energy over the best structure of this formula in the dataset ... 0.005 eV per atom
Crystal system ... orthorhombic

a b c (Å): 15.8033 5.8964 9.2898
angles (deg): 90.00 90.00 90.00
Element x y z (fractional)
Sc 0.1234 0.2500 0.1725
Sc 0.3766 0.7500 0.6725
Sc 0.6234 0.2500 0.3275
Sc 0.8766 0.7500 0.8275
Tl 0.1249 0.7500 0.5766
Tl 0.3751 0.2500 0.0766
Tl 0.6249 0.7500 0.9234
Tl 0.8751 0.2500 0.4234
Mo 0.0238 0.2500 0.7915
Mo 0.2189 0.7500 0.9818
Mo 0.2811 0.2500 0.4818
Mo 0.4762 0.7500 0.2915
Mo 0.5238 0.2500 0.7085
Mo 0.7189 0.7500 0.5182
Mo 0.7811 0.2500 0.0182
Mo 0.9762 0.7500 0.2085
O 0.0407 0.5029 0.2462
O 0.0407 0.9971 0.2462
O 0.0620 0.2500 0.9738
O 0.1095 0.2500 0.6705
O 0.1329 0.7500 0.8625
O 0.1864 0.2500 0.3733
O 0.2117 0.0052 0.0910
O 0.2117 0.4948 0.0910
O 0.2883 0.5052 0.5910
O 0.2883 0.9948 0.5910
O 0.3136 0.7500 0.8733
O 0.3671 0.2500 0.3625
O 0.3905 0.7500 0.1705
O 0.4380 0.7500 0.4738
O 0.4593 0.0029 0.7462
O 0.4593 0.4971 0.7462
O 0.5407 0.5029 0.2538
O 0.5407 0.9971 0.2538
O 0.5620 0.2500 0.5262
O 0.6095 0.2500 0.8295
O 0.6329 0.7500 0.6375
O 0.6864 0.2500 0.1267
O 0.7117 0.0052 0.4090
O 0.7117 0.4948 0.4090
O 0.7883 0.5052 0.9090
O 0.7883 0.9948 0.9090
O 0.8136 0.7500 0.6267
O 0.8671 0.2500 0.1375
O 0.8905 0.7500 0.3295
O 0.9380 0.7500 0.0262
O 0.9593 0.0029 0.7538
O 0.9593 0.4971 0.7538